Entry 1:
CdCuHg | SCAN | PBEsol geometry

Output
- D(E_F): 0.25 states/eV/atom
- Crystal system: orthorhombic
- Calculated total energy: -37.804 eV/atom
- ΔE_f: 122.7 meV per atom
- Magnetization: 0.00 μB/f.u.

Unit cell a=3.1074 b=3.1379 c=5.7921 alpha=105.72 beta=105.56 gamma=90.00
Fractional positions:
Cd: 0.0159 0.0159 0.0319
Cu: 0.6665 0.6665 0.3331
Hg: 0.3175 0.3175 0.6350

=====

Entry 2:
TlSiAu2 | SCAN | PBEsol geometry

Output
- D(E_F): 0.41 states/eV/atom
- Crystal system: trigonal
- Calculated total energy: -55.186 eV/atom
- Magnetization: 0.00 μB/f.u.

Unit cell a=3.7904 b=3.7904 c=6.9341 alpha=74.14 beta=74.14 gamma=60.00
Fractional positions:
Tl: 0.5000 0.5000 0.5000
Au: 0.7309 0.7309 0.8073
Au: 0.2691 0.2691 0.1927
Si: 0.0000 0.0000 0.0000